1.
VASP calculation (GGA-PBE) on an optimized crystal structure of OsPt.

a = 9.6888 Å, b = 9.6888 Å, c = 3.7701 Å
α = 90.00°, β = 90.00°, γ = 90.00°
Fractional positions:
Os  0.2968  0.8074  0.0000
Os  0.7032  0.1926  0.0000
Os  0.1926  0.2968  0.0000
Os  0.8074  0.7032  0.0000
Os  0.7968  0.3074  0.5000
Os  0.2032  0.6926  0.5000
Os  0.6926  0.7968  0.5000
Os  0.3074  0.2032  0.5000
Pt  0.4692  0.3017  0.0000
Pt  0.5308  0.6983  0.0000
Pt  0.6983  0.4692  0.0000
Pt  0.3017  0.5308  0.0000
Pt  0.9692  0.8017  0.5000
Pt  0.0308  0.1983  0.5000
Pt  0.1983  0.9692  0.5000
Pt  0.8017  0.0308  0.5000

Results
The crystal system is tetragonal. For the total energy, the calculation gives -7.746 eV/atom. The value obtained for the formation energy is 889 meV/atom. For the density of states at the Fermi level, the calculation gives 0.69 states/eV/atom. Its space-group type is I4/m (87).

---

2.
VASP calculation (GGA-PBE) on an optimized crystal structure of OsPt.

a = 4.0656 Å, b = 4.0656 Å, c = 4.9488 Å
α = 90.00°, β = 90.00°, γ = 120.00°
Fractional positions:
Os  0.0000  0.0000  0.0000
Os  0.0000  0.0000  0.5000
Pt  0.3333  0.6667  0.2500
Pt  0.6667  0.3333  0.7500

Results
The crystal system is hexagonal. For the total energy, the calculation gives -7.890 eV/atom. The value obtained for the formation energy is 745 meV/atom. For the density of states at the Fermi level, the calculation gives 0.85 states/eV/atom. Its space-group type is P6_3/mmc (194).

---

3.
VASP calculation (GGA-PBE) on an optimized crystal structure of OsPt2.

a = 4.8198 Å, b = 4.5541 Å, c = 8.3277 Å
α = 90.00°, β = 90.00°, γ = 90.00°
Fractional positions:
Os  0.1674  0.2500  0.8222
Os  0.3326  0.7500  0.3222
Os  0.6674  0.2500  0.6778
Os  0.8326  0.7500  0.1778
Pt  0.1561  0.2500  0.1622
Pt  0.1695  0.2500  0.5017
Pt  0.3305  0.7500  0.0017
Pt  0.3439  0.7500  0.6622
Pt  0.6561  0.2500  0.3378
Pt  0.6695  0.2500  0.9983
Pt  0.8305  0.7500  0.4983
Pt  0.8439  0.7500  0.8378

Results
The crystal system is orthorhombic. For the total energy, the calculation gives -7.592 eV/atom. The value obtained for the formation energy is 179 meV/atom. For the density of states at the Fermi level, the calculation gives 1.39 states/eV/atom. Its space-group type is Pnma (62). The excess energy over the best structure of this formula in the dataset comes out at 0.107 eV/atom.

---

4.
VASP calculation (GGA-PBE) on an optimized crystal structure of Os2Pt.

a = 2.7506 Å, b = 2.7506 Å, c = 6.7718 Å
α = 90.00°, β = 90.00°, γ = 120.00°
Fractional positions:
Os  0.0000  0.0000  0.9873
Os  0.3333  0.6667  0.6794
Pt  0.6667  0.3333  0.3333

Results
The crystal system is trigonal. For the total energy, the calculation gives -9.420 eV/atom. The value obtained for the formation energy is 80 meV/atom. For the density of states at the Fermi level, the calculation gives 0.83 states/eV/atom. Its space-group type is P-3m1 (164). The excess energy over the best structure of this formula in the dataset comes out at 0.031 eV/atom.

---

5.
VASP calculation (GGA-PBE) on an optimized crystal structure of Os2Pt.

a = 5.4830 Å, b = 3.8735 Å, c = 8.3273 Å
α = 90.00°, β = 90.00°, γ = 90.00°
Fractional positions:
Os  0.1226  0.2500  0.2619
Os  0.1161  0.2500  0.5800
Os  0.3839  0.7500  0.0800
Os  0.3774  0.7500  0.7619
Os  0.6226  0.2500  0.2381
Os  0.6161  0.2500  0.9200
Os  0.8839  0.7500  0.4200
Os  0.8774  0.7500  0.7381
Pt  0.1225  0.2500  0.9097
Pt  0.3775  0.7500  0.4097
Pt  0.6225  0.2500  0.5903
Pt  0.8775  0.7500  0.0903

Results
The crystal system is orthorhombic. For the total energy, the calculation gives -9.364 eV/atom. The value obtained for the formation energy is 136 meV/atom. For the density of states at the Fermi level, the calculation gives 0.99 states/eV/atom. Its space-group type is Pnma (62). The excess energy over the best structure of this formula in the dataset comes out at 0.087 eV/atom.

---

6.
VASP calculation (GGA-PBE) on an optimized crystal structure of OsPt2.

a = 7.6040 Å, b = 7.6040 Å, c = 2.7683 Å
α = 90.00°, β = 90.00°, γ = 120.00°
Fractional positions:
Os  0.0000  0.0000  0.5000
Os  0.3333  0.6667  0.0000
Os  0.6667  0.3333  0.0000
Pt  0.7029  0.7029  0.0000
Pt  0.3746  0.3746  0.5000
Pt  0.0000  0.2971  0.0000
Pt  0.0000  0.6254  0.5000
Pt  0.2971  0.0000  0.0000
Pt  0.6254  0.0000  0.5000

Results
The crystal system is hexagonal. For the total energy, the calculation gives -7.524 eV/atom. The value obtained for the formation energy is 246 meV/atom. For the density of states at the Fermi level, the calculation gives 1.44 states/eV/atom. Its space-group type is P-62m (189). The excess energy over the best structure of this formula in the dataset comes out at 0.174 eV/atom.

---

7.
VASP calculation (GGA-PBE) on an optimized crystal structure of OsPt2.

a = 4.7926 Å, b = 4.7926 Å, c = 4.7926 Å
α = 146.19°, β = 131.63°, γ = 60.31°
Fractional positions:
Os  0.0000  0.0000  0.0000
Pt  0.6635  0.6635  0.0000
Pt  0.3365  0.3365  0.0000

Results
The crystal system is orthorhombic. For the total energy, the calculation gives -7.631 eV/atom. The value obtained for the formation energy is 140 meV/atom. For the density of states at the Fermi level, the calculation gives 1.34 states/eV/atom. Its space-group type is Immm (71). The excess energy over the best structure of this formula in the dataset comes out at 0.067 eV/atom.

---

8.
VASP calculation (GGA-PBE) on an optimized crystal structure of OsPt2.

a = 12.6589 Å, b = 12.6589 Å, c = 12.6589 Å
α = 167.57°, β = 167.57°, γ = 17.61°
Fractional positions:
Os  0.7500  0.2500  0.5000
Os  0.0000  0.0000  0.0000
Pt  0.4234  0.4234  0.0000
Pt  0.5766  0.5766  0.0000
Pt  0.1734  0.6734  0.5000
Pt  0.3266  0.8266  0.5000

Results
The crystal system is tetragonal. For the total energy, the calculation gives -7.632 eV/atom. The value obtained for the formation energy is 139 meV/atom. For the density of states at the Fermi level, the calculation gives 0.84 states/eV/atom. Its space-group type is I4_1/amd (141). The excess energy over the best structure of this formula in the dataset comes out at 0.067 eV/atom.

---

9.
VASP calculation (GGA-PBE) on an optimized crystal structure of Os2Pt.

a = 5.2765 Å, b = 5.2765 Å, c = 10.6692 Å
α = 141.16°, β = 141.16°, γ = 30.27°
Fractional positions:
Os  0.0996  0.0996  0.7094
Os  0.3290  0.3290  0.6588
Os  0.4488  0.4488  0.3968
Os  0.6782  0.6782  0.3461
Pt  0.9955  0.9955  0.9978
Pt  0.7822  0.7822  0.0578

Results
The crystal system is monoclinic. For the total energy, the calculation gives -9.422 eV/atom. The value obtained for the formation energy is 78 meV/atom. For the density of states at the Fermi level, the calculation gives 0.85 states/eV/atom. Its space-group type is C2/m (12). The excess energy over the best structure of this formula in the dataset comes out at 0.029 eV/atom.

---

10.
VASP calculation (GGA-PBE) on an optimized crystal structure of OsPt2.

a = 6.2539 Å, b = 6.2539 Å, c = 6.2539 Å
α = 154.40°, β = 154.40°, γ = 36.51°
Fractional positions:
Os  0.0000  0.0000  0.0000
Pt  0.3406  0.3406  0.0000
Pt  0.6594  0.6594  0.0000

Results
The crystal system is tetragonal. For the total energy, the calculation gives -7.687 eV/atom. The value obtained for the formation energy is 83 meV/atom. For the density of states at the Fermi level, the calculation gives 1.13 states/eV/atom. Its space-group type is I4/mmm (139). The excess energy over the best structure of this formula in the dataset comes out at 0.011 eV/atom.

---

11.
VASP calculation (GGA-PBE) on an optimized crystal structure of OsPt.

a = 2.7702 Å, b = 5.2607 Å, c = 4.3522 Å
α = 90.00°, β = 90.00°, γ = 74.73°
Fractional positions:
Os  0.5638  0.8724  0.2500
Os  0.4362  0.1276  0.7500
Pt  0.8271  0.3459  0.2500
Pt  0.1729  0.6541  0.7500

Results
The crystal system is orthorhombic. For the total energy, the calculation gives -8.340 eV/atom. The value obtained for the formation energy is 295 meV/atom. For the density of states at the Fermi level, the calculation gives 1.02 states/eV/atom. Its space-group type is Cmcm (63).

---

12.
VASP calculation (GGA-PBE) on an optimized crystal structure of OsPt.

a = 3.9569 Å, b = 3.9569 Å, c = 5.2233 Å
α = 90.00°, β = 90.00°, γ = 120.00°
Each line ends with the local moment (μB).
Fractional positions:
Os  0.3333  0.6667  0.2500  0.35
Os  0.6667  0.3333  0.7500  0.35
Pt  0.0000  0.0000  0.0000  0.05
Pt  0.0000  0.0000  0.5000  0.05

Results
The crystal system is hexagonal. For the total energy, the calculation gives -7.512 eV/atom. The value obtained for the formation energy is 1123 meV/atom. For the density of states at the Fermi level, the calculation gives 1.57 states/eV/atom. Its space-group type is P6_3/mmc (194).

---

13.
VASP calculation (GGA-PBE) on an optimized crystal structure of OsPt5.

a = 5.1572 Å, b = 5.1572 Å, c = 4.5688 Å
α = 90.00°, β = 90.00°, γ = 120.00°
Each line ends with the local moment (μB).
Fractional positions:
Os  0.0000  0.0000  0.0000  2.67
Pt  0.0000  0.5000  0.5000  0.15
Pt  0.3333  0.6667  0.0000  0.16
Pt  0.5000  0.0000  0.5000  0.15
Pt  0.5000  0.5000  0.5000  0.15
Pt  0.6667  0.3333  0.0000  0.16

Results
The crystal system is hexagonal. For the total energy, the calculation gives -6.221 eV/atom. The value obtained for the formation energy is 685 meV/atom. For the density of states at the Fermi level, the calculation gives 0.93 states/eV/atom. Its space-group type is P6/mmm (191). The excess energy over the best structure of this formula in the dataset comes out at 0.607 eV/atom.

---

14.
VASP calculation (GGA-PBE) on an optimized crystal structure of OsPt2.

a = 6.2375 Å, b = 6.2375 Å, c = 3.9139 Å
α = 90.00°, β = 90.00°, γ = 143.29°
Fractional positions:
Os  0.9230  0.0770  0.7500
Os  0.0770  0.9230  0.2500
Pt  0.5803  0.4197  0.7500
Pt  0.2525  0.7475  0.7500
Pt  0.4197  0.5803  0.2500
Pt  0.7475  0.2525  0.2500

Results
The crystal system is orthorhombic. For the total energy, the calculation gives -7.651 eV/atom. The value obtained for the formation energy is 119 meV/atom. For the density of states at the Fermi level, the calculation gives 1.16 states/eV/atom. Its space-group type is Cmcm (63). The excess energy over the best structure of this formula in the dataset comes out at 0.047 eV/atom.

---

15.
VASP calculation (GGA-PBE) on an optimized crystal structure of OsPt2.

a = 5.1168 Å, b = 5.1168 Å, c = 8.8205 Å
α = 90.00°, β = 90.00°, γ = 120.00°
Fractional positions:
Os  0.3333  0.6667  0.0087
Os  0.3333  0.6667  0.4913
Os  0.6667  0.3333  0.5087
Os  0.6667  0.3333  0.9913
Pt  0.0000  0.0000  0.0000
Pt  0.0000  0.0000  0.5000
Pt  0.1686  0.3372  0.7500
Pt  0.1686  0.8314  0.7500
Pt  0.3372  0.1686  0.2500
Pt  0.6627  0.8314  0.7500
Pt  0.8314  0.1686  0.2500
Pt  0.8314  0.6627  0.2500

Results
The crystal system is hexagonal. For the total energy, the calculation gives -7.036 eV/atom. The value obtained for the formation energy is 734 meV/atom. For the density of states at the Fermi level, the calculation gives 1.43 states/eV/atom. Its space-group type is P6_3/mmc (194). The excess energy over the best structure of this formula in the dataset comes out at 0.662 eV/atom.

---

16.
VASP calculation (GGA-PBE) on an optimized crystal structure of Os2Pt.

a = 7.3153 Å, b = 7.3153 Å, c = 4.4362 Å
α = 90.00°, β = 90.00°, γ = 158.18°
Fractional positions:
Os  0.7181  0.2819  0.7500
Os  0.9419  0.0581  0.2500
Os  0.0581  0.9419  0.7500
Os  0.2819  0.7181  0.2500
Pt  0.3893  0.6107  0.7500
Pt  0.6107  0.3893  0.2500

Results
The crystal system is orthorhombic. For the total energy, the calculation gives -9.358 eV/atom. The value obtained for the formation energy is 143 meV/atom. For the density of states at the Fermi level, the calculation gives 0.85 states/eV/atom. Its space-group type is Cmcm (63). The excess energy over the best structure of this formula in the dataset comes out at 0.093 eV/atom.

---

17.
VASP calculation (GGA-PBE) on an optimized crystal structure of Os5Pt.

a = 5.0958 Å, b = 5.0958 Å, c = 5.0958 Å
α = 60.00°, β = 60.00°, γ = 60.00°
Fractional positions:
Os  0.8752  0.3749  0.3749
Os  0.7500  0.7500  0.7500
Os  0.3749  0.8752  0.3749
Os  0.3749  0.3749  0.3749
Os  0.3749  0.3749  0.8752
Pt  0.0000  0.0000  0.0000

Results
The crystal system is cubic. For the total energy, the calculation gives -9.480 eV/atom. The value obtained for the formation energy is 885 meV/atom. For the density of states at the Fermi level, the calculation gives 1.23 states/eV/atom. Its space-group type is F-43m (216). The excess energy over the best structure of this formula in the dataset comes out at 0.815 eV/atom.

---

18.
VASP calculation (GGA-PBE) on an optimized crystal structure of OsPt.

a = 3.8587 Å, b = 3.8583 Å, c = 5.5598 Å
α = 90.00°, β = 90.00°, γ = 119.99°
Fractional positions:
Os  0.6667  0.3333  0.8991
Os  0.3333  0.6667  0.1009
Pt  0.6667  0.3333  0.3722
Pt  0.3333  0.6667  0.6278

Results
The crystal system is trigonal. For the total energy, the calculation gives -8.163 eV/atom. The value obtained for the formation energy is 472 meV/atom. For the density of states at the Fermi level, the calculation gives 0.76 states/eV/atom. Its space-group type is P-3m1 (164).

---

19.
VASP calculation (GGA-PBE) on an optimized crystal structure of Os2Pt.

a = 8.9412 Å, b = 8.9412 Å, c = 8.9412 Å
α = 158.00°, β = 158.00°, γ = 31.31°
Fractional positions:
Os  0.4259  0.4259  0.0000
Os  0.5741  0.5741  0.0000
Os  0.1759  0.6759  0.5000
Os  0.3241  0.8241  0.5000
Pt  0.7500  0.2500  0.5000
Pt  0.0000  0.0000  0.0000

Results
The crystal system is tetragonal. For the total energy, the calculation gives -8.621 eV/atom. The value obtained for the formation energy is 879 meV/atom. For the density of states at the Fermi level, the calculation gives 1.40 states/eV/atom. Its space-group type is I4_1/amd (141). The excess energy over the best structure of this formula in the dataset comes out at 0.830 eV/atom.

---

20.
VASP calculation (GGA-PBE) on an optimized crystal structure of Os2Pt3.

a = 7.6344 Å, b = 7.6344 Å, c = 7.6344 Å
α = 28.30°, β = 28.30°, γ = 28.30°
Fractional positions:
Os  0.6002  0.6002  0.6002
Os  0.3998  0.3998  0.3998
Pt  0.0000  0.0000  0.0000
Pt  0.7935  0.7935  0.7935
Pt  0.2065  0.2065  0.2065

Results
The crystal system is trigonal. For the total energy, the calculation gives -7.116 eV/atom. The value obtained for the formation energy is 1000 meV/atom. For the density of states at the Fermi level, the calculation gives 1.35 states/eV/atom. Its space-group type is R-3m (166).